VASP calculation (PBE) on an optimized crystal structure of HoZn2Pd3.

## Properties
- E_form: -719 meV per atom
- M_tot: 0.0011 μB/atom

Cell: 4.402 4.402 12.292 Å, 90.00 90.00 120.00°
Fractional positions:
Ho 0.000 0.000 0.250
Ho 0.000 0.000 0.750
Zn 0.333 0.667 0.082
Zn 0.333 0.667 0.418
Zn 0.667 0.333 0.582
Zn 0.667 0.333 0.918
Pd 0.000 0.000 0.000
Pd 0.000 0.000 0.500
Pd 0.333 0.667 0.630
Pd 0.333 0.667 0.870
Pd 0.667 0.333 0.130
Pd 0.667 0.333 0.370

***

VASP calculation (PBE) on an optimized crystal structure of TbHo2Ga3Ge2Pd.

## Properties
- Total energy: -0.362 Ry/atom
- M_tot: 0.0003 μB/atom

Cell: 4.240 7.021 7.021 Å, 120.17 90.00 90.00°
Fractional positions:
Tb 0.000 0.000 0.000
Ho 0.000 0.179 0.590
Ho 0.000 0.590 0.179
Ga 0.500 0.352 0.352
Ga 0.500 0.589 0.826
Ga 0.500 0.826 0.589
Ge 0.500 0.257 0.922
Ge 0.500 0.922 0.257
Pd 0.000 0.587 0.587

***

VASP calculation (PBE) on an optimized crystal structure of LuMgZnCo.

## Properties
- Distance to the lowest polymorph of the same formula: 40 meV/atom
- M_tot: 0.0331 μB/atom

Cell: 6.510 6.510 6.510 Å, 90.00 90.00 90.00°
Fractional positions:
Lu 0.000 0.000 0.000
Lu 0.000 0.500 0.500
Lu 0.500 0.000 0.500
Lu 0.500 0.500 0.000
Mg 0.250 0.250 0.750
Mg 0.250 0.750 0.250
Mg 0.750 0.250 0.250
Mg 0.750 0.750 0.750
Zn 0.250 0.250 0.250
Zn 0.250 0.750 0.750
Zn 0.750 0.250 0.750
Zn 0.750 0.750 0.250
Co 0.000 0.000 0.500
Co 0.000 0.500 0.000
Co 0.500 0.000 0.000
Co 0.500 0.500 0.500

***

VASP calculation (PBE) on an optimized crystal structure of KTmFeS3.

## Properties
- Total energy: -0.409 Ry/atom
- M_tot: 0.6667 μB/atom

Cell: 8.512 8.512 8.392 Å, 102.50 102.50 26.95°
Fractional positions:
K 0.147 0.147 0.069
K 0.853 0.853 0.931
Tm 0.167 0.167 0.580
Tm 0.833 0.833 0.420
Fe 0.492 0.492 0.273
Fe 0.508 0.508 0.727
S 0.000 0.000 0.500
S 0.335 0.335 0.639
S 0.343 0.343 0.214
S 0.500 0.500 0.000
S 0.657 0.657 0.786
S 0.665 0.665 0.361

***

VASP calculation (PBE) on an optimized crystal structure of DyTmSbBr2.

## Properties
- Total energy: -0.348 Ry/atom
- M_tot: 0.0008 μB/atom

Cell: 4.193 4.193 10.731 Å, 90.00 90.00 120.00°
Fractional positions:
Dy 0.000 0.000 0.000
Tm 0.333 0.667 0.320
Sb 0.667 0.333 0.163
Br 0.000 0.000 0.477
Br 0.333 0.667 0.840

***

VASP calculation (PBE) on an optimized crystal structure of GePbW.

## Properties
- Total energy: -0.395 Ry/atom
- M_tot: 0.1158 μB/atom

Cell: 6.638 6.638 6.638 Å, 90.00 90.00 90.00°
Fractional positions:
Ge 0.000 0.000 0.000
Ge 0.000 0.500 0.500
Ge 0.500 0.000 0.500
Ge 0.500 0.500 0.000
Pb 0.250 0.250 0.250
Pb 0.250 0.750 0.750
Pb 0.750 0.250 0.750
Pb 0.750 0.750 0.250
W 0.000 0.000 0.500
W 0.000 0.500 0.000
W 0.500 0.000 0.000
W 0.500 0.500 0.500

***

VASP calculation (PBE) on an optimized crystal structure of Li2Ta2Al2OsPt.

## Properties
- Total energy: -0.521 Ry/atom
- M_tot: 0.0001 μB/atom

Cell: 4.366 4.366 6.183 Å, 90.00 90.00 90.00°
Fractional positions:
Li 0.000 0.000 0.000
Li 0.500 0.500 0.500
Ta 0.000 0.500 0.746
Ta 0.500 0.000 0.254
Al 0.000 0.500 0.256
Al 0.500 0.000 0.744
Os 0.000 0.000 0.500
Pt 0.500 0.500 0.000

***

VASP calculation (PBE) on an optimized crystal structure of GdMgZn.

## Properties
- Total energy: -0.185 Ry/atom
- M_tot: 0.0008 μB/atom

Cell: 4.868 4.868 10.206 Å, 90.00 90.00 120.00°
Fractional positions:
Gd 0.000 0.000 0.000
Gd 0.000 0.000 0.379
Gd 0.667 0.333 0.150
Mg 0.000 0.000 0.682
Mg 0.333 0.667 0.233
Mg 0.667 0.333 0.817
Zn 0.333 0.667 0.537
Zn 0.333 0.667 0.904
Zn 0.667 0.333 0.513

***

VASP calculation (PBE) on an optimized crystal structure of LiNbTeO.

## Properties
- Distance to the lowest polymorph of the same formula: 0 meV/atom
- M_tot: 0.0098 μB/atom

Cell: 3.511 6.869 6.017 Å, 90.00 90.00 90.00°
Fractional positions:
Li 0.000 0.169 0.000
Li 0.000 0.831 0.500
Nb 0.500 0.500 0.254
Nb 0.500 0.500 0.754
Te 0.000 0.245 0.502
Te 0.000 0.755 0.002
O 0.500 0.293 0.003
O 0.500 0.707 0.503

***

VASP calculation (PBE) on an optimized crystal structure of Pr3ErO6.

## Properties
- Total energy: -0.607 Ry/atom
- M_tot: 0.0001 μB/atom

Cell: 6.944 6.944 6.944 Å, 92.00 92.00 92.00°
Fractional positions:
Pr 0.057 0.752 0.564
Pr 0.248 0.436 0.943
Pr 0.436 0.943 0.248
Pr 0.564 0.057 0.752
Pr 0.752 0.564 0.057
Pr 0.943 0.248 0.436
Er 0.000 0.000 0.000
Er 0.500 0.500 0.500
O 0.035 0.693 0.905
O 0.095 0.965 0.307
O 0.194 0.434 0.589
O 0.307 0.095 0.965
O 0.411 0.806 0.566
O 0.434 0.589 0.194
O 0.566 0.411 0.806
O 0.589 0.194 0.434
O 0.693 0.905 0.035
O 0.806 0.566 0.411
O 0.905 0.035 0.693
O 0.965 0.307 0.095

***

VASP calculation (PBE) on an optimized crystal structure of InCoSi.

## Properties
- Total energy: -0.372 Ry/atom
- M_tot: 0.0015 μB/atom

Cell: 5.821 5.821 5.821 Å, 90.00 90.00 90.00°
Fractional positions:
In 0.000 0.000 0.000
In 0.000 0.500 0.500
In 0.500 0.000 0.500
In 0.500 0.500 0.000
Co 0.250 0.250 0.250
Co 0.250 0.750 0.750
Co 0.750 0.250 0.750
Co 0.750 0.750 0.250
Si 0.000 0.000 0.500
Si 0.000 0.500 0.000
Si 0.500 0.000 0.000
Si 0.500 0.500 0.500

***

VASP calculation (PBE) on an optimized crystal structure of HfReGe.

## Properties
- Distance to the lowest polymorph of the same formula: 0 meV/atom
- M_tot: 0.0035 μB/atom

Cell: 6.199 6.199 6.199 Å, 90.00 90.00 90.00°
Fractional positions:
Hf 0.000 0.000 0.000
Hf 0.000 0.500 0.500
Hf 0.500 0.000 0.500
Hf 0.500 0.500 0.000
Re 0.250 0.250 0.750
Re 0.250 0.750 0.250
Re 0.750 0.250 0.250
Re 0.750 0.750 0.750
Ge 0.000 0.000 0.500
Ge 0.000 0.500 0.000
Ge 0.500 0.000 0.000
Ge 0.500 0.500 0.500

***

What is the formula in the twelfth record?
HfReGe

***

Number 11 is which compound?
InCoSi